1.
# TmTe2H PBE relaxed
# Total energy: -0.312 Ry per atom
# Spin magnetization: 0.000 μB/f.u.
# Polymorph energy (0 for the lowest one): 6 meV/atom
data_TmTe2H
_chemical_formula_sum 'Tm3 Te6 H3'
_symmetry_space_group_name_H-M 'R -3 m'
_symmetry_Int_Tables_number 166
_symmetry_space_group_name_Hall '-R 3 2"'
_cell_length_a 4.4529
_cell_length_b 4.4529
_cell_length_c 21.5940
_cell_angle_alpha 90.00
_cell_angle_beta 90.00
_cell_angle_gamma 120.00
loop_
_atom_site_label
_atom_site_type_symbol
_atom_site_fract_x
_atom_site_fract_y
_atom_site_fract_z
Tm1 Tm 0.0000 0.0000 0.0000
Te1 Te 0.0000 0.0000 0.4096
H1 H 0.0000 0.0000 0.5000

2.
# AcInNiPt3 PBE relaxed
# Total energy: -0.413 Ry per atom
# Spin magnetization: 0.000 μB/f.u.
# Formation energy from the elements: -0.490 eV per atom
data_AcInNiPt3
_chemical_formula_sum 'Ac4 In4 Ni4 Pt12'
_symmetry_space_group_name_H-M 'C m c m'
_symmetry_Int_Tables_number 63
_symmetry_space_group_name_Hall '-C 2c 2'
_cell_length_a 5.7695
_cell_length_b 11.7657
_cell_length_c 7.5883
_cell_angle_alpha 90.00
_cell_angle_beta 90.00
_cell_angle_gamma 90.00
loop_
_atom_site_label
_atom_site_type_symbol
_atom_site_fract_x
_atom_site_fract_y
_atom_site_fract_z
Ac1 Ac 0.0000 0.1865 0.2500
In1 In 0.0000 0.1239 0.7500
Ni1 Ni 0.0000 0.4277 0.2500
Pt1 Pt 0.0000 0.3509 0.7500
Pt2 Pt 0.2441 0.5000 0.0000

3.
# Ba3Na2UO6 PBE relaxed
# Total energy: -0.481 Ry per atom
# Spin magnetization: 0.430 μB/f.u.
data_Ba3Na2UO6
_chemical_formula_sum 'Ba3 Na2 U1 O6'
_symmetry_space_group_name_H-M 'P -3 m 1'
_symmetry_Int_Tables_number 164
_symmetry_space_group_name_Hall '-P 3 2"'
_cell_length_a 6.2955
_cell_length_b 6.2955
_cell_length_c 7.2791
_cell_angle_alpha 90.00
_cell_angle_beta 90.00
_cell_angle_gamma 120.00
loop_
_atom_site_label
_atom_site_type_symbol
_atom_site_fract_x
_atom_site_fract_y
_atom_site_fract_z
Ba1 Ba 0.0000 0.0000 0.0000
Ba2 Ba 0.3333 0.6667 0.6100
Na1 Na 0.3333 0.6667 0.1611
U1 U 0.0000 0.0000 0.5000
O1 O 0.1579 0.3158 0.3294